Material: LiCaHg
Method: DFT, PBE
State: relaxed

Lattice parameters (Å, degrees): 4.449 13.400 7.723 90.00 90.00 90.00
Space group Amm2 (No. 38)
Unique sites:
Li 0.000 0.000 0.000
Li 0.000 0.119 0.643
Ca 0.500 0.000 0.350
Ca 0.500 0.206 0.968
Hg 0.000 0.167 0.261
Hg 0.500 0.000 0.762

Results
For the relative energy among the computed polymorphs, the calculation gives 7 meV/atom. The calculation puts the magnetic moment at 0.000 μB/f.u. The value obtained for the formation energy is -1.19 eV per formula unit. The total DFT energy (no corrections) comes out at -32.43 eV per cell. The value obtained for the volume is 76.73 Å³/f.u.

=====

Material: GaTeRhN2
Method: DFT, PBE
State: relaxed

Lattice parameters (Å, degrees): 3.905 3.905 5.716 90.00 90.00 90.00
Space group P4/mmm (No. 123)
Unique sites:
Ga 0.000 0.000 0.000
Te 0.500 0.500 0.000
Rh 0.500 0.500 0.500
N 0.000 0.500 0.500

Results
For the relative energy among the computed polymorphs, the calculation gives 0 meV/atom. The calculation puts the magnetic moment at 0.423 μB/f.u. The total DFT energy (no corrections) comes out at -25.23 eV per cell. Its formation energy from raw total energies is 0.99 eV/atom. The value obtained for the volume is 87.18 Å³/f.u.

=====

Material: GaFeH
Method: DFT, PBE
State: relaxed

Lattice parameters (Å, degrees): 2.9285 2.9285 3.7876 90.00 90.00 120.00
Space group P3m1 (No. 156)
Unique sites:
Ga 0.0000 0.0000 0.0000
Fe 0.6667 0.3333 0.4984
H 0.3333 0.6667 0.5103

Results
The calculation puts the magnetic moment at 0.817 μB/f.u. The total DFT energy (no corrections) comes out at -14.89 eV per cell. The value obtained for the volume is 28.13 Å³/f.u.

=====

Material: Li2LaAl2
Method: DFT, PBE
State: relaxed

Lattice parameters (Å, degrees): 8.294 8.294 3.065 90.00 90.00 90.00
Space group P4/mbm (No. 127)
Unique sites:
Li 0.174 0.326 0.000
La 0.000 0.000 0.500
Al 0.117 0.617 0.500

Results
For the relative energy among the computed polymorphs, the calculation gives 106 meV/atom. The calculation puts the magnetic moment at 0.000 μB/f.u. The value obtained for the formation energy is -0.25 eV per formula unit. The total DFT energy (no corrections) comes out at -32.99 eV per cell. The value obtained for the volume is 105.42 Å³/f.u.

=====

Number 1 is which compound? LiCaHg